Entry 1:
A relaxed structure of Sc2TaRh. Source: the Alexandria database, functional GGA-PBE.

Properties
Energy relative to the lowest polymorph listed for this composition: 248 meV/atom
E_form: -0.116 eV per atom
Magnetic moment: 0.000 μB per formula unit
Energy: -8.0825 eV per atom
Space group: No. 216

```
4
Lattice="4.682 0.000 0.000 2.341 4.054 0.000 2.341 1.351 3.822" Properties=species:S:1:pos:R:3 pbc="T T T"
Rh 4.682 2.703 1.911
Sc 0.000 0.000 0.000
Sc 2.341 1.351 0.956
Ta 7.022 4.054 2.867
```



Entry 2:
A relaxed structure of SbTeW2. Source: the Alexandria database, functional GGA-PBE.

Properties
Energy relative to the lowest polymorph listed for this composition: 845 meV/atom
Magnetic moment: 0.000 μB per formula unit
Formation energy without anion corrections: 25.94 kcal/mol of atoms
Energy: -7.1678 eV per atom
Space group: No. 71

```
4
Lattice="5.458 0.001 -0.006 1.831 5.141 0.006 -2.845 -3.705 2.823" Properties=species:S:1:pos:R:3 pbc="T T T"
Sb 1.315 2.004 1.414
Te 3.129 -0.566 1.409
W 0.025 0.017 0.000
W 3.620 2.554 0.000
```



Entry 3:
A relaxed structure of CaTcSb2. Source: the Alexandria database, functional GGA-PBE.

Properties
Energy relative to the lowest polymorph listed for this composition: 335 meV/atom
Magnetic moment: 1.218 μB per formula unit
Formation energy without anion corrections: 2.19 kcal/mol of atoms
Energy: -5.0583 eV per atom
Space group: No. 123

```
4
Lattice="3.938 0.000 0.000 0.000 4.749 0.000 0.000 0.000 4.749" Properties=species:S:1:pos:R:3 pbc="T T T"
Sb 0.000 0.000 0.000
Sb 0.000 2.375 2.375
Ca 1.969 0.000 2.375
Tc 1.969 2.375 0.000
```



Entry 4:
A relaxed structure of SrLiCdIn2. Source: the Alexandria database, functional GGA-PBE.

Properties
Energy relative to the lowest polymorph listed for this composition: 122 meV/atom
E_form: -0.174 eV per atom
Magnetic moment: 0.000 μB per formula unit
Energy: -2.1714 eV per atom
Space group: No. 123

```
5
Lattice="5.117 0.000 0.000 0.000 5.117 0.000 0.000 0.000 5.116" Properties=species:S:1:pos:R:3 pbc="T T T"
Sr 2.559 2.559 2.558
Cd 0.000 0.000 2.558
Li 0.000 0.000 0.000
In 0.000 2.559 0.000
In 2.559 0.000 0.000
```



Entry 5:
A relaxed structure of TaNb2W4. Source: the Alexandria database, functional GGA-PBE.

Properties
Energy relative to the lowest polymorph listed for this composition: 38 meV/atom
E_form: 0.492 eV per atom
Magnetic moment: 0.000 μB per formula unit
Energy: -11.4805 eV per atom
Space group: No. 139

```
7
Lattice="5.512 -0.023 0.000 -2.674 4.820 0.000 -1.419 -2.398 4.755" Properties=species:S:1:pos:R:3 pbc="T T T"
Ta 1.419 2.398 0.000
Nb -1.337 2.410 2.378
Nb 2.756 -0.011 2.378
W 0.000 0.000 1.830
W 2.517 -1.489 4.755
W -1.098 3.888 0.000
W 1.419 2.398 2.925
```



Entry 6:
A relaxed structure of TmPuInRu. Source: the Alexandria database, functional GGA-PBE.

Properties
Energy relative to the lowest polymorph listed for this composition: 196 meV/atom
E_form: -0.134 eV per atom
Magnetic moment: 5.091 μB per formula unit
Energy: -7.8389 eV per atom
Space group: No. 216

```
4
Lattice="5.031 0.000 0.000 2.515 4.357 0.000 2.515 1.452 4.107" Properties=species:S:1:pos:R:3 pbc="T T T"
Ru 7.546 4.357 3.081
Tm 0.000 0.000 0.000
In 2.515 1.452 1.027
Pu 5.031 2.904 2.054
```



Question: Number 6 is which compound?
Answer: TmPuInRu